(1)
Computed, not measured: a PBEsol-optimized structure of LiAgW2 at the meta-GGA SCAN level of DFT.

Geometry as extended XYZ:
```
4
Lattice="1.475 -2.183 0.000 1.475 2.183 0.000 0.000 0.000 9.794" Properties=species:S:1:pos:R:3 pbc="T T T"
Li 0.000 0.000 0.000
Ag 0.000 0.000 4.897
W 1.475 0.000 2.437
W 1.475 0.000 7.357
```

=====

(2)
Computed, not measured: a PBEsol-optimized structure of LiAgW2 at the meta-GGA SCAN level of DFT.

Geometry as extended XYZ:
```
4
Lattice="0.000 3.099 3.099 3.099 0.000 3.099 3.099 3.099 0.000" Properties=species:S:1:pos:R:3 pbc="T T T"
Li 0.000 0.000 0.000
Ag 3.099 3.099 3.099
W 1.549 1.549 1.549
W 4.648 4.648 4.648
```

=====

(3)
Computed, not measured: a PBEsol-optimized structure of LiAgW2 at the meta-GGA SCAN level of DFT.

Geometry as extended XYZ:
```
4
Lattice="1.550 -2.198 0.000 1.550 2.198 0.000 0.000 0.000 9.229" Properties=species:S:1:pos:R:3 pbc="T T T"
Li 0.000 0.000 0.000
Ag 1.550 0.000 6.993
W 0.000 0.000 4.584
W 1.550 0.000 2.372
```

=====

Bottom line: (3), by a margin of 0.347 eV/atom.

=====

(1)
Computed, not measured: a PBEsol-optimized structure of LiY2Ag2 at the meta-GGA SCAN level of DFT.

Geometry as extended XYZ:
```
5
Lattice="-1.909 1.909 8.284 1.909 -1.909 8.284 1.909 1.909 -8.284" Properties=species:S:1:pos:R:3 pbc="T T T"
Li 0.000 0.000 0.000
Y 0.000 0.000 6.525
Y 0.000 0.000 10.043
Ag 1.909 0.000 4.142
Ag 0.000 1.909 4.142
```

=====

(2)
Computed, not measured: a PBEsol-optimized structure of LiY2Ag2 at the meta-GGA SCAN level of DFT.

Geometry as extended XYZ:
```
10
Lattice="7.870 0.000 0.000 0.000 7.870 0.000 0.000 0.000 3.784" Properties=species:S:1:pos:R:3 pbc="T T T"
Li 0.000 0.000 0.000
Li 3.935 3.935 0.000
Y 1.310 2.625 1.892
Y 2.625 6.560 1.892
Y 5.246 1.310 1.892
Y 6.560 5.246 1.892
Ag 1.023 4.958 0.000
Ag 2.912 1.023 0.000
Ag 4.958 6.847 0.000
Ag 6.847 2.912 0.000
```

=====

Bottom line: (2), by a margin of 0.361 eV/atom.

=====

(1)
Computed, not measured: a PBEsol-optimized structure of LiYAg at the meta-GGA SCAN level of DFT.

Geometry as extended XYZ:
```
3
Lattice="-1.803 1.803 4.764 1.803 -1.803 4.764 1.803 1.803 -4.764" Properties=species:S:1:pos:R:3 pbc="T T T"
Li 0.000 0.000 0.000
Y 0.000 0.000 2.911
Ag 0.000 0.000 6.029
```

=====

(2)
Computed, not measured: a PBEsol-optimized structure of LiYAg at the meta-GGA SCAN level of DFT.

Geometry as extended XYZ:
```
3
Lattice="4.601 0.000 0.000 -2.301 3.985 0.000 0.000 0.000 3.415" Properties=species:S:1:pos:R:3 pbc="T T T"
Li 0.000 0.000 0.000
Y 0.000 2.657 1.708
Ag 2.301 1.328 0.000
```

=====

Bottom line: (1), by a margin of 0.032 eV/atom.

=====

(1)
Computed, not measured: a PBEsol-optimized structure of Li2ZrAg at the meta-GGA SCAN level of DFT.

Geometry as extended XYZ:
```
4
Lattice="3.926 0.000 0.000 0.000 3.926 0.000 0.000 0.000 4.771" Properties=species:S:1:pos:R:3 pbc="T T T"
Li 0.000 1.963 0.000
Li 1.963 0.000 0.000
Zr 0.000 0.000 2.386
Ag 1.963 1.963 2.386
```

=====

(2)
Computed, not measured: a PBEsol-optimized structure of Li2ZrAg at the meta-GGA SCAN level of DFT.

Geometry as extended XYZ:
```
4
Lattice="2.792 0.000 0.000 0.000 4.630 0.000 -0.891 0.000 5.623" Properties=species:S:1:pos:R:3 pbc="T T T"
Li 0.000 0.000 0.000
Li 0.240 2.315 4.622
Zr 1.743 2.315 1.938
Ag 0.378 0.000 3.043
```

=====

(3)
Computed, not measured: a PBEsol-optimized structure of Li2ZrAg at the meta-GGA SCAN level of DFT.

Geometry as extended XYZ:
```
4
Lattice="1.550 -2.395 0.000 1.550 2.395 0.000 0.000 0.000 9.646" Properties=species:S:1:pos:R:3 pbc="T T T"
Li 0.000 0.000 2.173
Li 0.000 0.000 7.473
Zr 1.550 0.000 4.823
Ag 1.550 0.000 0.000
```

=====

Bottom line: (3), by a margin of 0.015 eV/atom.

=====

(1)
Computed, not measured: a PBEsol-optimized structure of Mg4Ag at the meta-GGA SCAN level of DFT.

Geometry as extended XYZ:
```
5
Lattice="5.640 -1.615 0.000 5.640 1.615 0.000 -5.594 0.000 5.642" Properties=species:S:1:pos:R:3 pbc="T T T"
Mg -1.103 0.000 2.040
Mg 2.039 0.000 1.103
Mg 3.647 0.000 4.539
Mg 6.789 0.000 3.602
Ag 5.640 0.000 0.000
```

=====

(2)
Computed, not measured: a PBEsol-optimized structure of Mg4Ag at the meta-GGA SCAN level of DFT.

Geometry as extended XYZ:
```
5
Lattice="1.569 0.906 12.176 -1.569 0.906 12.176 0.000 -1.812 12.176" Properties=species:S:1:pos:R:3 pbc="T T T"
Mg 0.000 0.000 3.886
Mg 0.000 0.000 10.887
Mg 0.000 0.000 25.640
Mg 0.000 0.000 32.642
Ag 0.000 0.000 18.264
```

=====

Bottom line: (1), by a margin of 0.079 eV/atom.

=====

(1)
Computed, not measured: a PBEsol-optimized structure of Mg5Ag3 at the meta-GGA SCAN level of DFT.

Geometry as extended XYZ:
```
8
Lattice="3.428 -4.676 0.000 3.428 4.676 0.000 0.000 0.000 4.627" Properties=species:S:1:pos:R:3 pbc="T T T"
Mg 0.000 0.000 0.000
Mg 1.714 2.338 0.000
Mg 1.872 0.000 2.313
Mg 1.714 -2.338 0.000
Mg 4.984 0.000 2.313
Ag 3.428 2.493 2.313
Ag 3.428 0.000 0.000
Ag 3.428 -2.493 2.313
```

=====

(2)
Computed, not measured: a PBEsol-optimized structure of Mg5Ag3 at the meta-GGA SCAN level of DFT.

Geometry as extended XYZ:
```
16
Lattice="-5.330 5.330 2.684 5.330 -5.330 2.684 5.330 5.330 -2.684" Properties=species:S:1:pos:R:3 pbc="T T T"
Mg 8.292 0.825 0.000
Mg 0.825 2.368 0.000
Mg 5.330 0.000 1.342
Mg 6.155 2.962 0.000
Mg 2.962 4.505 0.000
Mg 2.368 0.825 2.684
Mg -0.825 2.368 2.684
Mg 0.000 5.330 1.342
Mg 4.505 2.962 2.684
Mg -2.962 4.505 2.684
Ag 3.552 1.778 0.000
Ag 0.000 0.000 1.342
Ag 3.552 -1.778 2.684
Ag 1.778 7.108 0.000
Ag 0.000 0.000 4.026
Ag 1.778 3.552 2.684
```

=====

Bottom line: (2), by a margin of 0.017 eV/atom.